No. 1
# Cs2NaHgPt | Alexandria | PBE | optimized geometry
# - Calculated formation energy: -0.044 eV per atom
data_Cs2NaHgPt
_chemical_formula_sum 'Cs2 Na1 Hg1 Pt1'
_cell_length_a 6.833
_cell_length_b 6.833
_cell_length_c 5.299
_cell_angle_alpha 90.00
_cell_angle_beta 90.00
_cell_angle_gamma 90.00
_symmetry_space_group_name_H-M 'P 4/m m m'
_symmetry_Int_Tables_number 123
_symmetry_space_group_name_Hall '-P 4 2'
loop_
_atom_site_label
_atom_site_fract_x
_atom_site_fract_y
_atom_site_fract_z
Cs1 0.000 0.500 0.000
Na1 0.000 0.000 0.500
Hg1 0.500 0.500 0.500
Pt1 0.500 0.500 0.000

No. 2
# Si2SbOs | Alexandria | PBE | optimized geometry
# - DFT total energy: -23.64 eV/cell
data_Si2SbOs
_chemical_formula_sum 'Si2 Sb1 Os1'
_cell_length_a 4.658
_cell_length_b 3.136
_cell_length_c 4.697
_cell_angle_alpha 90.00
_cell_angle_beta 106.19
_cell_angle_gamma 90.00
_symmetry_space_group_name_H-M 'P 1 2/m 1'
_symmetry_Int_Tables_number 10
loop_
_symmetry_equiv_pos_as_xyz
'x,y,z'
'-x,-y,-z'
'-x,y,-z'
'x,-y,z'
loop_
_atom_site_label
_atom_site_fract_x
_atom_site_fract_y
_atom_site_fract_z
Si1 0.000 0.000 0.000
Si2 0.000 0.500 0.500
Sb1 0.500 0.000 0.500
Os1 0.500 0.500 0.000

No. 3
# TlAuCl | Alexandria | PBE | optimized geometry
# - DFT total energy: -31.53 eV/cell
data_TlAuCl
_chemical_formula_sum 'Tl4 Au4 Cl4'
_cell_length_a 4.351
_cell_length_b 6.088
_cell_length_c 11.756
_cell_angle_alpha 90.00
_cell_angle_beta 90.00
_cell_angle_gamma 90.00
_symmetry_space_group_name_H-M 'F m m 2'
_symmetry_Int_Tables_number 42
_symmetry_space_group_name_Hall 'F 2 -2'
loop_
_atom_site_label
_atom_site_fract_x
_atom_site_fract_y
_atom_site_fract_z
Tl1 0.000 0.000 0.000
Au1 0.000 0.000 0.346
Cl1 0.000 0.000 0.708

No. 4
# Li2PuMg | Alexandria | PBE | optimized geometry
# - Calculated formation energy: 0.429 eV per atom
data_Li2PuMg
_chemical_formula_sum 'Li2 Pu1 Mg1'
_cell_length_a 2.587
_cell_length_b 2.587
_cell_length_c 10.481
_cell_angle_alpha 90.00
_cell_angle_beta 90.00
_cell_angle_gamma 90.00
_symmetry_space_group_name_H-M 'P 4/m m m'
_symmetry_Int_Tables_number 123
_symmetry_space_group_name_Hall '-P 4 2'
loop_
_atom_site_label
_atom_site_fract_x
_atom_site_fract_y
_atom_site_fract_z
Li1 0.000 0.000 0.237
Pu1 0.500 0.500 0.500
Mg1 0.500 0.500 0.000

No. 5
# SmErPd | Alexandria | PBE | optimized geometry
# - Calculated formation energy: -0.453 eV per atom
data_SmErPd
_chemical_formula_sum 'Sm4 Er4 Pd4'
_cell_length_a 6.955
_cell_length_b 6.955
_cell_length_c 6.955
_cell_angle_alpha 90.00
_cell_angle_beta 90.00
_cell_angle_gamma 90.00
_symmetry_space_group_name_H-M 'F -4 3 m'
_symmetry_Int_Tables_number 216
_symmetry_space_group_name_Hall 'F -4 2 3'
loop_
_atom_site_label
_atom_site_fract_x
_atom_site_fract_y
_atom_site_fract_z
Sm1 0.000 0.000 0.000
Er1 0.000 0.000 0.500
Pd1 0.250 0.250 0.250

No. 6
# MnRe | Alexandria | PBE | optimized geometry
# - Calculated formation energy: 1.592 eV per atom
data_MnRe
_chemical_formula_sum 'Mn4 Re4'
_cell_length_a 5.317
_cell_length_b 5.317
_cell_length_c 5.317
_cell_angle_alpha 90.00
_cell_angle_beta 90.00
_cell_angle_gamma 90.00
_symmetry_space_group_name_H-M 'F -4 3 m'
_symmetry_Int_Tables_number 216
_symmetry_space_group_name_Hall 'F -4 2 3'
loop_
_atom_site_label
_atom_site_fract_x
_atom_site_fract_y
_atom_site_fract_z
Mn1 0.000 0.000 0.000
Re1 0.250 0.250 0.750

Number 1: total magnetization 0.0 μB per formula unit. Number 2: total magnetization 0.0 μB per formula unit. Number 3: total magnetization 0.0 μB per formula unit. Number 4: total magnetization 0.8 μB per formula unit. Number 5: total magnetization 0.0 μB per formula unit. Number 6: total magnetization 0.0 μB per formula unit.